Record 1
Entry from Alexandria: a geometry-optimized Hf2SeS2 structure (PBE-GGA).

The space group is Immm (No. 71) and the conventional cell measures 3.664, 5.043 and 11.303 Å, with angles of 90.00, 90.00 and 90.00 degrees. The asymmetric unit holds Hf at (0.000, 0.000, 0.174), Se at (0.000, 0.500, 0.500) and S at (0.000, 0.500, 0.163).

The value obtained for the total magnetization is 0.000 Bohr magnetons per cell. The calculation puts the energy above the lowest structure with this stoichiometry at 0 meV per atom. The uncorrected energy is -77.4 eV per cell. Its crystal system is orthorhombic.

=====

Record 2
Entry from Alexandria: a geometry-optimized HfTa2Se2S4 structure (PBE-GGA).

The space group is P3m1 (No. 156) and the conventional cell measures 3.4408, 3.4408 and 21.4005 Å, with angles of 90.00, 90.00 and 120.00 degrees. The asymmetric unit holds Hf at (0.0000, 0.0000, 0.0000), Ta at (0.0000, 0.0000, 0.6502), Ta at (0.6667, 0.3333, 0.3303), Se at (0.6667, 0.3333, 0.0816), Se at (0.6667, 0.3333, 0.9183), S at (0.0000, 0.0000, 0.2586), S at (0.0000, 0.0000, 0.4020), S at (0.6667, 0.3333, 0.5785) and S at (0.6667, 0.3333, 0.7220).

The value obtained for the total magnetization is 0.000 Bohr magnetons per cell. The uncorrected energy is -66.5 eV per cell. Its crystal system is trigonal.